*P*
Density functional theory data (PBE) for an optimized crystal structure of TcPtRh.

The structure in CIF format:
```
data_TcPtRh
_chemical_formula_sum 'Tc2 Pt2 Rh2'
_cell_length_a 2.7377
_cell_length_b 3.8816
_cell_length_c 8.2678
_cell_angle_alpha 90.00
_cell_angle_beta 90.00
_cell_angle_gamma 90.00
_symmetry_space_group_name_H-M 'I m m 2'
_symmetry_Int_Tables_number 44
loop_
_symmetry_equiv_pos_as_xyz
'x,y,z'
'-x,-y,z'
'-x,y,z'
'x,-y,z'
'x+1/2,y+1/2,z+1/2'
'-x+1/2,-y+1/2,z+1/2'
'-x+1/2,y+1/2,z+1/2'
'x+1/2,-y+1/2,z+1/2'
loop_
_atom_site_label
_atom_site_fract_x
_atom_site_fract_y
_atom_site_fract_z
Tc1 0.0000 0.0000 0.0000
Pt1 0.0000 0.0000 0.6687
Rh1 0.0000 0.0000 0.3431
```

## Properties
V   87.86 Å³/cell
Total moment   0.000 Bohr magnetons per cell

---

*Q*
Density functional theory data (PBE) for an optimized crystal structure of TcPtRh.

The structure in CIF format:
```
data_TcPtRh
_chemical_formula_sum 'Tc4 Pt4 Rh4'
_cell_length_a 5.9481
_cell_length_b 5.9481
_cell_length_c 5.9481
_cell_angle_alpha 90.00
_cell_angle_beta 90.00
_cell_angle_gamma 90.00
_symmetry_space_group_name_H-M 'F -4 3 m'
_symmetry_Int_Tables_number 216
_symmetry_space_group_name_Hall 'F -4 2 3'
loop_
_atom_site_label
_atom_site_fract_x
_atom_site_fract_y
_atom_site_fract_z
Tc1 0.0000 0.0000 0.0000
Pt1 0.2500 0.2500 0.2500
Rh1 0.2500 0.2500 0.7500
```

## Properties
V   210.44 Å³/cell
Total moment   0.000 Bohr magnetons per cell

---

*R*
Density functional theory data (PBE) for an optimized crystal structure of TcPtRh.

The structure in CIF format:
```
data_TcPtRh
_chemical_formula_sum 'Tc1 Pt1 Rh1'
_cell_length_a 4.3972
_cell_length_b 4.3972
_cell_length_c 2.6740
_cell_angle_alpha 90.00
_cell_angle_beta 90.00
_cell_angle_gamma 120.00
_symmetry_space_group_name_H-M 'P -6 m 2'
_symmetry_Int_Tables_number 187
_symmetry_space_group_name_Hall 'P -6 2'
loop_
_atom_site_label
_atom_site_fract_x
_atom_site_fract_y
_atom_site_fract_z
Tc1 0.0000 0.0000 0.0000
Pt1 0.6667 0.3333 0.5000
Rh1 0.3333 0.6667 0.5000
```

## Properties
V   44.78 Å³/cell
Total moment   0.000 Bohr magnetons per cell

---

It turns out *P* is the most stable, with the second structure 0.219 eV/atom higher.

---

*P*
Density functional theory data (PBE) for an optimized crystal structure of TcPtRh.

The structure in CIF format:
```
data_TcPtRh
_chemical_formula_sum 'Tc2 Pt2 Rh2'
_cell_length_a 4.9268
_cell_length_b 2.7072
_cell_length_c 6.8248
_cell_angle_alpha 90.00
_cell_angle_beta 90.12
_cell_angle_gamma 90.00
_symmetry_space_group_name_H-M 'P 1 2 1'
_symmetry_Int_Tables_number 3
loop_
_symmetry_equiv_pos_as_xyz
'x,y,z'
'-x,y,-z'
loop_
_atom_site_label
_atom_site_fract_x
_atom_site_fract_y
_atom_site_fract_z
Tc1 0.0000 0.0000 0.0000
Tc2 0.5000 0.1228 0.0000
Pt1 0.2509 0.0613 0.3486
Rh1 0.2492 0.5613 0.7030
```

## Properties
V   91.03 Å³/cell
Total moment   0.000 Bohr magnetons per cell

---

*Q*
Density functional theory data (PBE) for an optimized crystal structure of TcPtRh.

The structure in CIF format:
```
data_TcPtRh
_chemical_formula_sum 'Tc1 Pt1 Rh1'
_cell_length_a 2.7461
_cell_length_b 2.7461
_cell_length_c 6.7799
_cell_angle_alpha 90.00
_cell_angle_beta 90.00
_cell_angle_gamma 120.00
_symmetry_space_group_name_H-M 'P 3 m 1'
_symmetry_Int_Tables_number 156
loop_
_symmetry_equiv_pos_as_xyz
'x,y,z'
'-y,x-y,z'
'-x+y,-x,z'
'-y,-x,z'
'-x+y,y,z'
'x,x-y,z'
loop_
_atom_site_label
_atom_site_fract_x
_atom_site_fract_y
_atom_site_fract_z
Tc1 0.0000 0.0000 0.0000
Pt1 0.6667 0.3333 0.3365
Rh1 0.3333 0.6667 0.6865
```

## Properties
V   44.28 Å³/cell
Total moment   0.000 Bohr magnetons per cell

---

*R*
Density functional theory data (PBE) for an optimized crystal structure of TcPtRh.

The structure in CIF format:
```
data_TcPtRh
_chemical_formula_sum 'Tc4 Pt4 Rh4'
_cell_length_a 9.1177
_cell_length_b 2.7343
_cell_length_c 7.7957
_cell_angle_alpha 90.00
_cell_angle_beta 115.32
_cell_angle_gamma 90.00
_symmetry_space_group_name_H-M 'C 1 2/m 1'
_symmetry_Int_Tables_number 12
loop_
_symmetry_equiv_pos_as_xyz
'x,y,z'
'-x,-y,-z'
'-x,y,-z'
'x,-y,z'
'x+1/2,y+1/2,z'
'-x+1/2,-y+1/2,-z'
'-x+1/2,y+1/2,-z'
'x+1/2,-y+1/2,z'
loop_
_atom_site_label
_atom_site_fract_x
_atom_site_fract_y
_atom_site_fract_z
Tc1 0.0000 0.0000 0.0000
Tc2 0.0000 0.0000 0.5000
Pt1 0.1639 0.5000 0.3295
Rh1 0.1627 0.5000 0.8334
```

## Properties
V   175.69 Å³/cell
Total moment   0.000 Bohr magnetons per cell

---

*S*
Density functional theory data (PBE) for an optimized crystal structure of TcPtRh.

The structure in CIF format:
```
data_TcPtRh
_chemical_formula_sum 'Tc2 Pt2 Rh2'
_cell_length_a 2.7297
_cell_length_b 2.7297
_cell_length_c 11.8524
_cell_angle_alpha 90.00
_cell_angle_beta 90.00
_cell_angle_gamma 90.00
_symmetry_space_group_name_H-M 'I 4 m m'
_symmetry_Int_Tables_number 107
_symmetry_space_group_name_Hall 'I 4 -2'
loop_
_atom_site_label
_atom_site_fract_x
_atom_site_fract_y
_atom_site_fract_z
Tc1 0.0000 0.0000 0.0000
Pt1 0.0000 0.0000 0.3327
Rh1 0.0000 0.0000 0.6552
```

## Properties
V   88.31 Å³/cell
Total moment   0.014 Bohr magnetons per cell

---

It turns out *R* is the most stable, with the second structure 0.026 eV/atom higher.

---

*P*
Density functional theory data (PBE) for an optimized crystal structure of TcPtRh.

The structure in CIF format:
```
data_TcPtRh
_chemical_formula_sum 'Tc4 Pt4 Rh4'
_cell_length_a 13.9639
_cell_length_b 2.6972
_cell_length_c 4.9586
_cell_angle_alpha 90.00
_cell_angle_beta 101.01
_cell_angle_gamma 90.00
_symmetry_space_group_name_H-M 'C 1 2/m 1'
_symmetry_Int_Tables_number 12
loop_
_symmetry_equiv_pos_as_xyz
'x,y,z'
'-x,-y,-z'
'-x,y,-z'
'x,-y,z'
'x+1/2,y+1/2,z'
'-x+1/2,-y+1/2,-z'
'-x+1/2,y+1/2,-z'
'x+1/2,-y+1/2,z'
loop_
_atom_site_label
_atom_site_fract_x
_atom_site_fract_y
_atom_site_fract_z
Tc1 0.1406 0.0000 0.0850
Pt1 0.1814 0.5000 0.6223
Rh1 0.0006 0.5000 0.2535
```

## Properties
V   183.32 Å³/cell
Total moment   0.000 Bohr magnetons per cell

---

*Q*
Density functional theory data (PBE) for an optimized crystal structure of TcPtRh.

The structure in CIF format:
```
data_TcPtRh
_chemical_formula_sum 'Tc4 Pt4 Rh4'
_cell_length_a 13.5422
_cell_length_b 2.7384
_cell_length_c 4.7945
_cell_angle_alpha 90.00
_cell_angle_beta 97.00
_cell_angle_gamma 90.00
_symmetry_space_group_name_H-M 'C 1 m 1'
_symmetry_Int_Tables_number 8
loop_
_symmetry_equiv_pos_as_xyz
'x,y,z'
'x,-y,z'
'x+1/2,y+1/2,z'
'x+1/2,-y+1/2,z'
loop_
_atom_site_label
_atom_site_fract_x
_atom_site_fract_y
_atom_site_fract_z
Tc1 0.0000 0.0000 0.0000
Tc2 0.1662 0.0000 0.7266
Pt1 0.1633 0.5000 0.2207
Pt2 0.3346 0.5000 0.6162
Rh1 0.0072 0.5000 0.5099
Rh2 0.3388 0.0000 0.1056
```

## Properties
V   176.48 Å³/cell
Total moment   0.000 Bohr magnetons per cell

---

It turns out *Q* is the most stable, with the second structure 0.192 eV/atom higher.

---

*P*
Density functional theory data (PBE) for an optimized crystal structure of TcPt6Rh5.

The structure in CIF format:
```
data_TcPt6Rh5
_chemical_formula_sum 'Tc2 Pt12 Rh10'
_cell_length_a 3.8984
_cell_length_b 7.8381
_cell_length_c 11.7029
_cell_angle_alpha 90.00
_cell_angle_beta 90.00
_cell_angle_gamma 90.00
_symmetry_space_group_name_H-M 'I m m m'
_symmetry_Int_Tables_number 71
_symmetry_space_group_name_Hall '-I 2 2'
loop_
_atom_site_label
_atom_site_fract_x
_atom_site_fract_y
_atom_site_fract_z
Tc1 0.0000 0.0000 0.0000
Pt1 0.0000 0.2479 0.1664
Pt2 0.0000 0.2547 0.5000
Rh1 0.0000 0.0000 0.3368
Rh2 0.0000 0.5000 0.0000
Rh3 0.0000 0.5000 0.3372
```

## Properties
V   357.60 Å³/cell
Total moment   0.000 Bohr magnetons per cell

---

*Q*
Density functional theory data (PBE) for an optimized crystal structure of TcPt6Rh5.

The structure in CIF format:
```
data_TcPt6Rh5
_chemical_formula_sum 'Tc2 Pt12 Rh10'
_cell_length_a 9.1400
_cell_length_b 8.3104
_cell_length_c 4.7915
_cell_angle_alpha 90.00
_cell_angle_beta 100.21
_cell_angle_gamma 90.00
_symmetry_space_group_name_H-M 'C 1 2/m 1'
_symmetry_Int_Tables_number 12
loop_
_symmetry_equiv_pos_as_xyz
'x,y,z'
'-x,-y,-z'
'-x,y,-z'
'x,-y,z'
'x+1/2,y+1/2,z'
'-x+1/2,-y+1/2,-z'
'-x+1/2,y+1/2,-z'
'x+1/2,-y+1/2,z'
loop_
_atom_site_label
_atom_site_fract_x
_atom_site_fract_y
_atom_site_fract_z
Tc1 0.0000 0.0000 0.0000
Pt1 0.2473 0.1653 0.2531
Pt2 0.2494 0.5000 0.2379
Rh1 0.0000 0.1616 0.5000
Rh2 0.0000 0.3296 0.0000
Rh3 0.0000 0.5000 0.5000
```

## Properties
V   358.18 Å³/cell
Total moment   0.000 Bohr magnetons per cell

---

It turns out *P* is the most stable, with the second structure 0.014 eV/atom higher.

---

*P*
Density functional theory data (PBE) for an optimized crystal structure of TcPtRh4.

The structure in CIF format:
```
data_TcPtRh4
_chemical_formula_sum 'Tc4 Pt4 Rh16'
_cell_length_a 7.1363
_cell_length_b 7.1363
_cell_length_c 7.1363
_cell_angle_alpha 90.00
_cell_angle_beta 90.00
_cell_angle_gamma 90.00
_symmetry_space_group_name_H-M 'F -4 3 m'
_symmetry_Int_Tables_number 216
_symmetry_space_group_name_Hall 'F -4 2 3'
loop_
_atom_site_label
_atom_site_fract_x
_atom_site_fract_y
_atom_site_fract_z
Tc1 0.0000 0.0000 0.0000
Pt1 0.2500 0.2500 0.2500
Rh1 0.1250 0.1250 0.6250
```

## Properties
V   363.43 Å³/cell
Total moment   0.000 Bohr magnetons per cell

---

*Q*
Density functional theory data (PBE) for an optimized crystal structure of TcPtRh4.

The structure in CIF format:
```
data_TcPtRh4
_chemical_formula_sum 'Tc2 Pt2 Rh8'
_cell_length_a 5.0978
_cell_length_b 5.3983
_cell_length_c 6.6927
_cell_angle_alpha 90.00
_cell_angle_beta 103.34
_cell_angle_gamma 90.00
_symmetry_space_group_name_H-M 'P 1 21/m 1'
_symmetry_Int_Tables_number 11
loop_
_symmetry_equiv_pos_as_xyz
'x,y,z'
'-x,-y,-z'
'-x,y+1/2,-z'
'x,-y+1/2,z'
loop_
_atom_site_label
_atom_site_fract_x
_atom_site_fract_y
_atom_site_fract_z
Tc1 0.1534 0.2500 0.3466
Pt1 0.1163 0.7500 0.3503
Rh1 0.2242 0.7500 0.9724
Rh2 0.2633 0.2500 0.9922
Rh3 0.4065 0.5008 0.6776
```

## Properties
V   179.21 Å³/cell
Total moment   0.000 Bohr magnetons per cell

---

*R*
Density functional theory data (PBE) for an optimized crystal structure of TcPtRh4.

The structure in CIF format:
```
data_TcPtRh4
_chemical_formula_sum 'Tc2 Pt2 Rh8'
_cell_length_a 4.2530
_cell_length_b 5.3789
_cell_length_c 7.7348
_cell_angle_alpha 90.00
_cell_angle_beta 90.00
_cell_angle_gamma 90.00
_symmetry_space_group_name_H-M 'I m m m'
_symmetry_Int_Tables_number 71
_symmetry_space_group_name_Hall '-I 2 2'
loop_
_atom_site_label
_atom_site_fract_x
_atom_site_fract_y
_atom_site_fract_z
Tc1 0.0000 0.0000 0.0000
Pt1 0.0000 0.5000 0.0000
Rh1 0.0000 0.2454 0.3362
```

## Properties
V   176.94 Å³/cell
Total moment   0.000 Bohr magnetons per cell

---

It turns out *Q* is the most stable, with the second structure 0.024 eV/atom higher.